A plane-wave DFT calculation with PBE was carried out for an optimized crystal structure of LaTlAu2.

a = 3.812 Å, b = 3.830 Å, c = 7.003 Å
α = 90.00°, β = 91.17°, γ = 90.00°
Space group P2/m (No. 10)
Inequivalent atoms, fractional coordinates:
La 0.000 0.000 0.000
Tl 0.000 0.000 0.500
Au 0.491 0.500 0.758

Output
DOS(E_F)	2.5	states/eV per cell
ΔE to the lowest computed polymorph	106.5	meV per atom
energy of formation from the pure elements	-0.503	eV per atom



A plane-wave DFT calculation with PBE was carried out for an optimized crystal structure of AlTlIn2.

a = 7.478 Å, b = 7.478 Å, c = 7.478 Å
α = 90.00°, β = 90.00°, γ = 90.00°
Space group Fm-3m (No. 225)
Inequivalent atoms, fractional coordinates:
Al 0.000 0.000 0.000
Tl 0.000 0.000 0.500
In 0.250 0.250 0.250

Output
DOS(E_F)	4.8	states/eV per cell
ΔE to the lowest computed polymorph	94.0	meV per atom
energy of formation from the pure elements	0.187	eV per atom



A plane-wave DFT calculation with PBE was carried out for an optimized crystal structure of Na2CdRe.

a = 8.303 Å, b = 8.303 Å, c = 5.617 Å
α = 90.00°, β = 90.00°, γ = 90.00°
Space group I-42d (No. 122)
Inequivalent atoms, fractional coordinates:
Na 0.244 0.250 0.125
Cd 0.000 0.000 0.000
Re 0.000 0.000 0.500

Output
DOS(E_F)	12.6	states/eV per cell
energy of formation from the pure elements	1.243	eV per atom



A plane-wave DFT calculation with PBE was carried out for an optimized crystal structure of PaB2Ru4.

a = 3.831 Å, b = 12.964 Å, c = 3.779 Å
α = 90.00°, β = 90.00°, γ = 90.00°
Space group Cmmm (No. 65)
Inequivalent atoms, fractional coordinates:
Pa 0.000 0.000 0.000
B 0.000 0.427 0.500
Ru 0.000 0.174 0.500
Ru 0.000 0.322 0.000

Output
DOS(E_F)	9.2	states/eV per cell
ΔE to the lowest computed polymorph	0.0	meV per atom
energy of formation from the pure elements	-0.374	eV per atom



A plane-wave DFT calculation with PBE was carried out for an optimized crystal structure of Sc2TlTc.

a = 4.250 Å, b = 4.250 Å, c = 19.352 Å
α = 90.00°, β = 90.00°, γ = 90.00°
Space group I-42d (No. 122)
Inequivalent atoms, fractional coordinates:
Sc 0.231 0.250 0.125
Tl 0.000 0.000 0.500
Tc 0.000 0.000 0.000

Output
DOS(E_F)	17.9	states/eV per cell
ΔE to the lowest computed polymorph	801.6	meV per atom
energy of formation from the pure elements	0.502	eV per atom



A plane-wave DFT calculation with PBE was carried out for an optimized crystal structure of La2Si3Rh.

a = 8.3303 Å, b = 8.3303 Å, c = 4.3144 Å
α = 90.00°, β = 90.00°, γ = 120.00°
Space group P6/mmm (No. 191)
Inequivalent atoms, fractional coordinates:
La 0.0000 0.0000 0.0000
La 0.0000 0.5000 0.0000
Si 0.1659 0.3318 0.5000
Rh 0.3333 0.6667 0.5000

Output
DOS(E_F)	5.1	states/eV per cell
uncorrected formation energy	-932	meV per atom



A plane-wave DFT calculation with PBE was carried out for an optimized crystal structure of Li3Pm3AsO8.

a = 6.8465 Å, b = 6.8465 Å, c = 14.9286 Å
α = 90.00°, β = 90.00°, γ = 120.00°
Space group R-3m (No. 166, hexagonal axes)
Inequivalent atoms, fractional coordinates:
Li 0.0000 0.5000 0.0000
Pm 0.0000 0.5000 0.5000
As 0.0000 0.0000 0.5000
O 0.0000 0.0000 0.2468
O 0.0484 0.5242 0.2409

Output
DOS(E_F)	3.5	states/eV per cell
uncorrected formation energy	-2353	meV per atom



A plane-wave DFT calculation with PBE was carried out for an optimized crystal structure of TmTl2GeSe4.

a = 7.200 Å, b = 4.028 Å, c = 7.934 Å
α = 90.00°, β = 107.34°, γ = 90.00°
Space group P2/m (No. 10)
Inequivalent atoms, fractional coordinates:
Tm 0.000 0.000 0.000
Tl 0.000 0.500 0.500
Tl 0.500 0.000 0.500
Ge 0.500 0.500 0.000
Se 0.240 0.500 0.201
Se 0.269 0.000 0.799

Output
DOS(E_F)	4.4	states/eV per cell
uncorrected formation energy	-784	meV per atom



A plane-wave DFT calculation with PBE was carried out for an optimized crystal structure of La4ThMg5.

a = 3.933 Å, b = 3.933 Å, c = 19.721 Å
α = 90.00°, β = 90.00°, γ = 90.00°
Space group P4/mmm (No. 123)
Inequivalent atoms, fractional coordinates:
La 0.000 0.000 0.101
La 0.000 0.000 0.306
Th 0.000 0.000 0.500
Mg 0.500 0.500 0.000
Mg 0.500 0.500 0.203
Mg 0.500 0.500 0.405

Output
DOS(E_F)	12.2	states/eV per cell
energy of formation from the pure elements	-0.072	eV per atom



A plane-wave DFT calculation with PBE was carried out for an optimized crystal structure of NaPdBr2Cl.

a = 5.226 Å, b = 5.226 Å, c = 4.880 Å
α = 90.00°, β = 90.00°, γ = 90.00°
Space group P4/mmm (No. 123)
Inequivalent atoms, fractional coordinates:
Na 0.000 0.000 0.000
Pd 0.500 0.500 0.500
Br 0.000 0.500 0.500
Cl 0.500 0.500 0.000

Output
DOS(E_F)	1.6	states/eV per cell
uncorrected formation energy	-751	meV per atom



A plane-wave DFT calculation with PBE was carried out for an optimized crystal structure of BaIr2Br.

a = 4.066 Å, b = 4.066 Å, c = 6.143 Å
α = 90.00°, β = 90.00°, γ = 90.00°
Space group P4/mmm (No. 123)
Inequivalent atoms, fractional coordinates:
Ba 0.000 0.000 0.000
Ir 0.000 0.500 0.500
Br 0.500 0.500 0.000

Output
DOS(E_F)	4.9	states/eV per cell
ΔE to the lowest computed polymorph	704.9	meV per atom
uncorrected formation energy	512	meV per atom



A plane-wave DFT calculation with PBE was carried out for an optimized crystal structure of BaCaTc2.

a = 4.145 Å, b = 4.172 Å, c = 10.380 Å
α = 90.00°, β = 90.00°, γ = 90.00°
Space group Cmmm (No. 65)
Inequivalent atoms, fractional coordinates:
Ba 0.000 0.000 0.000
Ca 0.000 0.000 0.500
Tc 0.000 0.500 0.268

Output
DOS(E_F)	9.0	states/eV per cell
ΔE to the lowest computed polymorph	884.2	meV per atom
energy of formation from the pure elements	1.149	eV per atom



A plane-wave DFT calculation with PBE was carried out for an optimized crystal structure of Ge2HPb.

a = 6.850 Å, b = 6.850 Å, c = 6.850 Å
α = 90.00°, β = 90.00°, γ = 90.00°
Space group Fm-3m (No. 225)
Inequivalent atoms, fractional coordinates:
Ge 0.250 0.250 0.250
H 0.000 0.000 0.000
Pb 0.000 0.000 0.500

Output
DOS(E_F)	10.0	states/eV per cell
ΔE to the lowest computed polymorph	282.8	meV per atom



A plane-wave DFT calculation with PBE was carried out for an optimized crystal structure of Nd3Y3Tm4.

a = 3.673 Å, b = 13.321 Å, c = 13.386 Å
α = 90.00°, β = 90.00°, γ = 90.00°
Space group Amm2 (No. 38)
Inequivalent atoms, fractional coordinates:
Nd 0.000 0.000 0.000
Nd 0.000 0.174 0.673
Y 0.000 0.000 0.347
Y 0.500 0.246 0.422
Tm 0.500 0.000 0.549
Tm 0.500 0.000 0.798
Tm 0.500 0.124 0.175

Output
DOS(E_F)	15.6	states/eV per cell
energy of formation from the pure elements	0.079	eV per atom



A plane-wave DFT calculation with PBE was carried out for an optimized crystal structure of Cu2AuCl.

a = 6.371 Å, b = 6.371 Å, c = 6.371 Å
α = 90.00°, β = 90.00°, γ = 90.00°
Space group F-43m (No. 216)
Inequivalent atoms, fractional coordinates:
Cu 0.000 0.000 0.000
Cu 0.250 0.250 0.250
Au 0.250 0.250 0.750
Cl 0.000 0.000 0.500

Output
ΔE to the lowest computed polymorph	517.8	meV per atom
uncorrected formation energy	417	meV per atom



A plane-wave DFT calculation with PBE was carried out for an optimized crystal structure of NdThHgC.

a = 3.7312 Å, b = 3.7312 Å, c = 24.3837 Å
α = 90.00°, β = 90.00°, γ = 120.00°
Space group R3m (No. 160, hexagonal axes)
Inequivalent atoms, fractional coordinates:
Nd 0.0000 0.0000 0.0000
Th 0.0000 0.0000 0.7848
Hg 0.0000 0.0000 0.2278
C 0.0000 0.0000 0.3979

Output
DOS(E_F)	12.7	states/eV per cell
energy of formation from the pure elements	-0.303	eV per atom



A plane-wave DFT calculation with PBE was carried out for an optimized crystal structure of BeFeOs.

a = 5.434 Å, b = 3.552 Å, c = 6.763 Å
α = 90.00°, β = 90.00°, γ = 90.00°
Space group Pnma (No. 62)
Inequivalent atoms, fractional coordinates:
Be 0.242 0.250 0.133
Fe 0.140 0.250 0.450
Os 0.034 0.250 0.817

Output
DOS(E_F)	11.8	states/eV per cell
ΔE to the lowest computed polymorph	99.0	meV per atom
energy of formation from the pure elements	-0.010	eV per atom



A plane-wave DFT calculation with PBE was carried out for an optimized crystal structure of Cs3TiI7.

a = 10.807 Å, b = 11.070 Å, c = 10.082 Å
α = 90.00°, β = 107.16°, γ = 90.00°
Space group Cm (No. 8)
Inequivalent atoms, fractional coordinates:
Cs 0.000 0.000 0.000
Cs 0.418 0.230 0.445
Ti 0.016 0.500 0.931
I 0.124 0.000 0.397
I 0.140 0.500 0.716
I 0.192 0.327 0.078
I 0.354 0.178 0.798
I 0.397 0.000 0.143

Output
uncorrected formation energy	-1143	meV per atom



A plane-wave DFT calculation with PBE was carried out for an optimized crystal structure of Rb4Dy3PbO8.

a = 7.0862 Å, b = 7.0862 Å, c = 19.7443 Å
α = 90.00°, β = 90.00°, γ = 120.00°
Space group R-3m (No. 166, hexagonal axes)
Inequivalent atoms, fractional coordinates:
Rb 0.0000 0.0000 0.0000
Rb 0.0000 0.5000 0.0000
Dy 0.0000 0.5000 0.5000
Pb 0.0000 0.0000 0.5000
O 0.0000 0.0000 0.2248
O 0.0139 0.5070 0.7730

Output
DOS(E_F)	6.6	states/eV per cell
uncorrected formation energy	-2285	meV per atom



A plane-wave DFT calculation with PBE was carried out for an optimized crystal structure of PuCu9Sn2.

a = 5.0925 Å, b = 5.0925 Å, c = 24.4905 Å
α = 90.00°, β = 90.00°, γ = 120.00°
Space group R-3m (No. 166, hexagonal axes)
Inequivalent atoms, fractional coordinates:
Pu 0.0000 0.0000 0.0000
Cu 0.0000 0.0000 0.3336
Cu 0.0000 0.0000 0.5000
Cu 0.0027 0.5013 0.9164
Sn 0.0000 0.0000 0.1378

Output
DOS(E_F)	48.1	states/eV per cell
energy of formation from the pure elements	-0.034	eV per atom



| no. | theoretical density (g/cm³) |
| --- | --- |
| 1 | 11.98 |
| 2 | 7.32 |
| 3 | 5.91 |
| 4 | 11.62 |
| 5 | 7.46 |
| 6 | 5.96 |
| 7 | 5.42 |
| 8 | 7.30 |
| 9 | 4.95 |
| 10 | 4.04 |
| 11 | 9.83 |
| 12 | 6.91 |
| 13 | 7.30 |
| 14 | 6.97 |
| 15 | 9.23 |
| 16 | 9.98 |
| 17 | 12.98 |
| 18 | 3.85 |
| 19 | 6.76 |
| 20 | 9.54 |